Record 1
{"formula": "TlSn4", "functional": "GGA-PBE", "state": "optimized geometry", "ef_ev_per_atom": 0.0682, "polymorph_energy_ev_per_atom": 0.015, "final_energy_ev_per_cell": -36.07, "lattice": [[-2.7686, 6.4023, -3.4413], [0.2988, -3.0053, -5.8315], [-5.9455, -1.2240, 2.5060]], "species": ["Sn", "Sn", "Sn", "Sn", "Sn", "Sn", "Sn", "Sn", "Tl", "Tl"], "fractional_positions": [[0.0000, 0.2503, 0.2503], [0.7500, 0.3853, 0.6147], [0.5000, 0.7497, 0.7497], [0.2500, 0.6147, 0.3853], [0.0000, 0.7497, 0.7497], [0.2500, 0.8862, 0.1138], [0.7500, 0.1138, 0.8862], [0.5000, 0.2503, 0.2503], [0.7500, 0.7499, 0.2501], [0.2500, 0.2501, 0.7499]]}

=====

Record 2
{"formula": "Tl5Sn4", "functional": "GGA-PBE", "state": "optimized geometry", "ef_ev_per_atom": 0.0298, "final_energy_ev_per_cell": -27.57, "lattice": [[3.8253, 0.0000, 0.0000], [1.9127, 8.3639, 0.0000], [1.9127, 0.0000, 8.3639]], "species": ["Sn", "Sn", "Sn", "Sn", "Tl", "Tl", "Tl", "Tl", "Tl"], "fractional_positions": [[0.0000, 0.6529, 0.3471], [0.0000, 0.3471, 0.6529], [0.3471, 0.6529, 0.6529], [0.6529, 0.3471, 0.3471], [0.3329, 0.0000, 0.3342], [0.0000, 0.0000, 0.0000], [0.6671, 0.0000, 0.6658], [0.6671, 0.6658, 0.0000], [0.3329, 0.3342, 0.0000]]}

=====

Record 3
{"formula": "Tl6Sn", "functional": "GGA-PBE", "state": "optimized geometry", "ef_ev_per_atom": 0.0604, "polymorph_energy_ev_per_atom": 0.000, "final_energy_ev_per_cell": -17.78, "lattice": [[-2.5534, 4.5004, 1.7233], [-2.5604, 0.3854, -4.7999], [-5.7678, -4.3178, 2.7300]], "species": ["Sn", "Tl", "Tl", "Tl", "Tl", "Tl", "Tl"], "fractional_positions": [[0.0000, 0.0000, 0.0000], [0.5000, 0.0000, 0.2564], [0.0000, 0.5000, 0.7436], [0.0000, 0.0000, 0.5000], [0.0000, 0.5000, 0.2564], [0.5000, 0.5000, 0.0000], [0.5000, 0.0000, 0.7436]]}